Al2CdPF | PBE | relaxed

```
Al2CdPF
1.0
5.133 0.000 0.000
0.000 5.133 0.000
0.000 0.000 4.276
Al Cd P F
2 1 1 1
Direct
0.000 0.500 0.000
0.500 0.000 0.000
0.000 0.000 0.000
0.500 0.500 0.500
0.000 0.000 0.500
```

Total DFT energy (no corrections) = -2.830 eV per atom
Fermi-level density of states = 4.87 states/eV/f.u.

AlCdPdF6 | PBE | relaxed

```
AlCdPdF6
1.0
5.594 0.000 0.000
-2.797 4.845 0.000
0.000 0.000 9.488
Al Cd Pd F
2 2 2 12
Direct
0.333 0.667 0.250
0.667 0.333 0.750
0.333 0.667 0.750
0.667 0.333 0.250
0.000 0.000 0.000
0.000 0.000 0.500
0.057 0.399 0.141
0.057 0.658 0.359
0.342 0.399 0.359
0.342 0.943 0.141
0.399 0.057 0.641
0.399 0.342 0.859
0.601 0.658 0.141
0.601 0.943 0.359
0.658 0.057 0.859
0.658 0.601 0.641
0.943 0.342 0.641
0.943 0.601 0.859
```

Total DFT energy (no corrections) = -4.671 eV per atom
Fermi-level density of states = 6.25 states/eV/f.u.

RbAlCd2F8 | PBE | relaxed

```
RbAlCd2F8
1.0
5.000 0.000 0.000
0.167 5.043 0.000
0.136 0.215 7.286
Rb Al Cd F
1 1 2 8
Direct
0.000 0.000 0.000
0.000 0.000 0.500
0.495 0.495 0.259
0.505 0.505 0.741
0.160 0.792 0.678
0.176 0.807 0.326
0.282 0.249 0.502
0.429 0.268 0.003
0.571 0.732 0.997
0.718 0.751 0.498
0.824 0.193 0.674
0.840 0.208 0.322
```

Total DFT energy (no corrections) = -4.485 eV per atom
Fermi-level density of states = 0.00 states/eV/f.u.

Rb2AlCdF6 | PBE | relaxed

```
Rb2AlCdF6
1.0
0.000 4.402 4.402
4.402 0.000 4.402
4.402 4.402 0.000
Rb Al Cd F
2 1 1 6
Direct
0.250 0.250 0.250
0.750 0.750 0.750
0.000 0.000 0.000
0.500 0.500 0.500
0.210 0.210 0.790
0.210 0.790 0.210
0.210 0.790 0.790
0.790 0.210 0.210
0.790 0.210 0.790
0.790 0.790 0.210
```

Total DFT energy (no corrections) = -4.579 eV per atom
Fermi-level density of states = 2.70 states/eV/f.u.

AlCdRhF2 | PBE | relaxed

```
AlCdRhF2
1.0
4.184 0.000 0.000
0.000 4.184 0.000
0.000 0.000 4.971
Al Cd Rh F
1 1 1 2
Direct
0.000 0.000 0.000
0.500 0.500 0.000
0.000 0.000 0.500
0.000 0.500 0.500
0.500 0.000 0.500
```

Total DFT energy (no corrections) = -3.849 eV per atom
Fermi-level density of states = 0.80 states/eV/f.u.

AlCd3Se2F6 | PBE | relaxed

```
AlCd3Se2F6
1.0
6.163 -3.131 0.000
6.163 3.131 0.000
-0.017 0.000 5.262
Al Cd Se F
1 3 2 6
Direct
0.000 0.000 0.000
0.000 0.500 0.000
0.500 0.000 0.000
0.500 0.500 0.500
0.291 0.291 0.403
0.709 0.709 0.597
0.124 0.124 0.812
0.151 0.723 0.807
0.277 0.849 0.193
0.723 0.151 0.807
0.849 0.277 0.193
0.876 0.876 0.188
```

Total DFT energy (no corrections) = -4.039 eV per atom
Fermi-level density of states = 3.72 states/eV/f.u.

AlCd2SnF | PBE | relaxed

```
AlCd2SnF
1.0
5.645 0.000 0.000
0.000 5.645 0.000
0.000 0.000 4.352
Al Cd Sn F
1 2 1 1
Direct
0.000 0.000 0.000
0.000 0.500 0.500
0.500 0.000 0.500
0.500 0.500 0.500
0.500 0.500 0.000
```

Total DFT energy (no corrections) = -2.466 eV per atom
Fermi-level density of states = 2.32 states/eV/f.u.

TiAl2CdF | PBE | relaxed

```
TiAl2CdF
1.0
5.309 0.000 0.000
0.000 5.309 0.000
0.000 0.000 3.842
Ti Al Cd F
1 2 1 1
Direct
0.000 0.000 0.000
0.000 0.500 0.000
0.500 0.000 0.000
0.500 0.500 0.500
0.000 0.000 0.500
```

Total DFT energy (no corrections) = -3.949 eV per atom
Fermi-level density of states = 3.31 states/eV/f.u.

Al2TlCdF8 | PBE | relaxed

```
Al2TlCdF8
1.0
2.843 1.641 7.711
-2.843 1.641 7.711
0.000 -3.283 7.711
Al Tl Cd F
2 1 1 8
Direct
0.248 0.248 0.248
0.752 0.752 0.752
0.500 0.500 0.500
0.000 0.000 0.000
0.030 0.698 0.461
0.174 0.174 0.174
0.302 0.539 0.970
0.461 0.030 0.698
0.539 0.970 0.302
0.698 0.461 0.030
0.826 0.826 0.826
0.970 0.302 0.539
```

Total DFT energy (no corrections) = -4.923 eV per atom
Fermi-level density of states = 3.11 states/eV/f.u.

AlCd2Fe2 | PBE | relaxed

```
AlCd2Fe2
1.0
6.157 0.000 0.000
0.000 6.157 0.000
0.000 0.000 4.297
Al Cd Fe
2 4 4
Direct
0.000 0.000 0.000
0.500 0.500 0.000
0.172 0.328 0.500
0.328 0.828 0.500
0.672 0.172 0.500
0.828 0.672 0.500
0.129 0.629 0.000
0.371 0.129 0.000
0.629 0.871 0.000
0.871 0.371 0.000
```

Calculated formation energy = 0.204 eV per atom
Total DFT energy (no corrections) = -4.296 eV per atom
Fermi-level density of states = 4.09 states/eV/f.u.

AlCd2Fe | PBE | relaxed

```
AlCd2Fe
1.0
1.489 0.860 9.379
-1.489 0.860 9.379
0.000 -1.720 9.379
Al Cd Fe
1 2 1
Direct
0.000 0.000 0.000
0.246 0.246 0.246
0.754 0.754 0.754
0.500 0.500 0.500
```

Calculated formation energy = 0.267 eV per atom
Total DFT energy (no corrections) = -3.242 eV per atom
Fermi-level density of states = 3.04 states/eV/f.u.

AlCdFe4 | PBE | relaxed

```
AlCdFe4
1.0
0.000 3.445 3.445
3.445 0.000 3.445
3.445 3.445 0.000
Al Cd Fe
1 1 4
Direct
0.000 0.000 0.000
0.750 0.750 0.750
0.374 0.374 0.374
0.374 0.374 0.877
0.374 0.877 0.374
0.877 0.374 0.374
```

Calculated formation energy = 0.122 eV per atom
Total DFT energy (no corrections) = -6.296 eV per atom
Fermi-level density of states = 5.87 states/eV/f.u.

AlCd2Fe | PBE | relaxed

```
AlCd2Fe
1.0
2.820 -4.190 0.000
2.820 4.190 0.000
0.000 0.000 2.971
Al Cd Fe
1 2 1
Direct
0.000 0.000 0.000
0.000 0.500 0.500
0.500 0.000 0.500
0.500 0.500 0.000
```

Calculated formation energy = 0.267 eV per atom
Total DFT energy (no corrections) = -3.242 eV per atom
Fermi-level density of states = 1.99 states/eV/f.u.

AlCd2Fe | PBE | relaxed

```
AlCd2Fe
1.0
3.062 0.000 0.000
0.000 3.062 0.000
0.000 0.000 7.238
Al Cd Fe
1 2 1
Direct
0.000 0.000 0.000
0.000 0.000 0.604
0.500 0.500 0.290
0.500 0.500 0.856
```

Calculated formation energy = 0.116 eV per atom
Total DFT energy (no corrections) = -3.393 eV per atom
Fermi-level density of states = 3.28 states/eV/f.u.

AlCd2Fe | PBE | relaxed

```
AlCd2Fe
1.0
4.052 0.000 0.000
0.000 4.052 0.000
0.000 0.000 4.198
Al Cd Fe
1 2 1
Direct
0.000 0.000 0.000
0.000 0.500 0.500
0.500 0.000 0.500
0.500 0.500 0.000
```

Calculated formation energy = 0.226 eV per atom
Total DFT energy (no corrections) = -3.283 eV per atom
Fermi-level density of states = 1.99 states/eV/f.u.

Al4CdFe | PBE | relaxed

```
Al4CdFe
1.0
0.000 3.699 3.699
3.699 0.000 3.699
3.699 3.699 0.000
Al Cd Fe
4 1 1
Direct
0.125 0.125 0.125
0.125 0.125 0.624
0.125 0.624 0.125
0.624 0.125 0.125
0.750 0.750 0.750
0.500 0.500 0.500
```

Calculated formation energy = 0.272 eV per atom
Total DFT energy (no corrections) = -3.786 eV per atom
Fermi-level density of states = 2.48 states/eV/f.u.

AlCd2Fe | PBE | relaxed

```
AlCd2Fe
1.0
2.827 0.000 0.000
0.000 5.069 0.000
-0.187 0.000 4.948
Al Cd Fe
1 2 1
Direct
0.000 0.000 0.000
0.245 0.500 0.745
0.755 0.500 0.255
0.500 0.000 0.500
```

Calculated formation energy = 0.270 eV per atom
Total DFT energy (no corrections) = -3.239 eV per atom
Fermi-level density of states = 2.47 states/eV/f.u.

AlCd3Fe | PBE | relaxed

```
AlCd3Fe
1.0
5.105 0.000 0.000
0.000 5.105 0.000
0.000 0.000 5.105
Al Cd Fe
1 3 1
Direct
0.000 0.000 0.000
0.000 0.000 0.500
0.000 0.500 0.000
0.500 0.000 0.000
0.500 0.500 0.500
```

Calculated formation energy = 0.943 eV per atom
Total DFT energy (no corrections) = -2.047 eV per atom
Fermi-level density of states = 4.76 states/eV/f.u.
Excess energy over the best structure of this formula in the dataset = 0.258 eV per atom

AlCd4Fe | PBE | relaxed

```
AlCd4Fe
1.0
0.000 3.989 3.989
3.989 0.000 3.989
3.989 3.989 0.000
Al Cd Fe
1 4 1
Direct
0.000 0.000 0.000
0.126 0.625 0.625
0.625 0.126 0.625
0.625 0.625 0.126
0.625 0.625 0.625
0.250 0.250 0.250
```

Calculated formation energy = 0.513 eV per atom
Total DFT energy (no corrections) = -2.131 eV per atom
Fermi-level density of states = 5.44 states/eV/f.u.

AlCd2Fe | PBE | relaxed

```
AlCd2Fe
1.0
-1.972 1.972 4.369
1.972 -1.972 4.369
1.972 1.972 -4.369
Al Cd Fe
1 2 1
Direct
0.000 0.000 0.000
0.250 0.750 0.500
0.750 0.250 0.500
0.500 0.500 0.000
```

Calculated formation energy = 0.245 eV per atom
Total DFT energy (no corrections) = -3.263 eV per atom
Fermi-level density of states = 3.41 states/eV/f.u.

Computed mass density (Mg/m³) in order:
3.19, 4.65, 4.42, 4.13, 5.35, 5.20, 4.66, 3.58, 4.02, 7.41, 7.09, 7.37, 7.28, 7.53, 7.41, 4.53, 7.21, 5.24, 6.96, 7.52
Computed M_tot (μB/cell) in order:
0.000, 2.000, 0.000, 0.811, 0.000, 0.000, 0.000, 0.000, 0.576, 6.613, 2.716, 8.579, 2.523, 0.465, 2.349, 1.886, 2.305, 3.284, 2.914, 1.622